Here is crystalline PaHgBiN at its relaxed geometry from the Alexandria database. Energies are from GGA-PBE.

abc: 3.9827 3.9827 12.8266
angles: 90.00 90.00 90.00
Last column: nearest neighbours and their distance in Å.
Space group P4/nmm (No. 129, origin choice 2)
One atom of each set of equivalent atoms:
Pa  0.2500  0.2500  0.0884  4 N 2.29
Hg  0.2500  0.7500  0.5000  4 Hg 2.82
Bi  0.2500  0.2500  0.7520  4 Pa 3.48, 4 N 3.75, 4 Hg 3.80
N  0.2500  0.7500  0.0000  4 Pa 2.29

Calculated values
* VASP energy: -6.28 eV per atom
* mass density: 10.685 Mg/m³
* formation energy from raw total energies: -775 meV per atom
* crystal system: tetragonal